A crystal of KP2Au relaxed with PBEsol, computed with meta-GGA SCAN.

Lattice parameters (Å, degrees): 10.7204 3.3434 6.4780 90.00 118.69 90.00
With the nearest neighbours (Å) after each atom.
Space group Cm (No. 8)
Symmetry-distinct sites (fractional):
K: 0.0000 0.0000 0.0000  3 P 3.23-3.24, 3 Au 3.28-3.35, 2 K 3.34
P: 0.1241 0.0000 0.6315  2 P 2.24, 1 Au 2.35
P: 0.4836 0.0000 0.4133  2 P 2.24, 1 Au 2.35
Au: 0.3009 0.0000 0.5147  2 P 2.35

Properties
ΔE to the lowest computed polymorph (eV/atom): 0.000
Raw total energy (eV per atom): -25.00
Formation enthalpy at 0 K (eV per atom): -0.430


A crystal of Li2Zn2Mo relaxed with PBEsol, computed with meta-GGA SCAN.

Lattice parameters (Å, degrees): 4.0452 4.0452 8.0229 90.00 90.00 90.00
With the nearest neighbours (Å) after each atom.
Space group I4/mmm (No. 139)
Symmetry-distinct sites (fractional):
Li: 0.0000 0.0000 0.1175  1 Li 1.88
Zn: 0.0000 0.5000 0.2500  4 Li 2.29
Mo: 0.0000 0.0000 0.5000  8 Zn 2.85, 10 Li 3.01-3.07

Properties
Raw total energy (eV per atom): -12.96
Formation enthalpy at 0 K (eV per atom): 0.378


A crystal of KTaSi2O7 relaxed with PBEsol, computed with meta-GGA SCAN.

Lattice parameters (Å, degrees): 8.8344 8.8344 7.8876 90.00 90.00 90.00
With the nearest neighbours (Å) after each atom.
Space group P4/mbm (No. 127)
Symmetry-distinct sites (fractional):
K: 0.1799 0.3201 0.0000  10 O 2.82-3.06
Ta: 0.0000 0.0000 0.2486  6 O 1.96-1.99
Si: 0.1222 0.6222 0.2978  4 O 1.60-1.65
O: 0.0000 0.0000 0.0000  2 Ta 1.96
O: 0.0000 0.0000 0.5000  2 Ta 1.98
O: 0.0000 0.5000 0.2170  2 Si 1.65
O: 0.0762 0.7888 0.2318  1 Si 1.61
O: 0.1121 0.6121 0.5000  2 Si 1.60

Properties
ΔE_f (raw) (eV/atom): -3.007
Raw total energy (eV per atom): -15.60


A crystal of MnMo2Pt relaxed with PBEsol, computed with meta-GGA SCAN.

Lattice parameters (Å, degrees): 2.6960 3.8026 5.4515 90.00 90.00 90.00
With the nearest neighbours (Å) after each atom.
Space group Pmmm (No. 47)
Symmetry-distinct sites (fractional):
Mn: 0.0000 0.0000 0.0000  8 Mo 2.64, 2 Mn 2.70, 2 Pt 2.73
Mo: 0.5000 0.5000 0.2280  3 Mo 2.49-2.70, 4 Mn 2.64, 4 Pt 2.76
Pt: 0.0000 0.0000 0.5000  2 Pt 2.70, 2 Mn 2.73, 8 Mo 2.76

Properties
ΔE to the lowest computed polymorph (eV/atom): 0.123
Raw total energy (eV per atom): -39.67
Formation enthalpy at 0 K (eV per atom): -0.116


A crystal of TcPb3 relaxed with PBEsol, computed with meta-GGA SCAN.

Lattice parameters (Å, degrees): 3.6551 4.8187 5.7997 90.00 108.34 90.00
With the nearest neighbours (Å) after each atom.
Space group P2/m (No. 10)
Symmetry-distinct sites (fractional):
Tc: 0.0000 0.0000 0.0000  6 Pb 2.86-2.90
Pb: 0.1443 0.5000 0.7771  2 Tc 2.86, 3 Pb 3.04-3.08
Pb: 0.5000 0.0000 0.5000  2 Tc 2.90

Properties
ΔE to the lowest computed polymorph (eV/atom): 0.288
Raw total energy (eV per atom): -64.91
Formation enthalpy at 0 K (eV per atom): 0.688


A crystal of Mn5Cr4 relaxed with PBEsol, computed with meta-GGA SCAN.

Lattice parameters (Å, degrees): 8.3389 8.3389 2.7862 90.00 90.00 90.00
With the nearest neighbours (Å) after each atom.
Space group I4/mmm (No. 139)
Symmetry-distinct sites (fractional):
Mn: 0.0000 0.0000 0.0000  8 Mn 2.40
Mn: 0.1662 0.1662 0.5000  4 Mn 2.40-2.42, 4 Cr 2.41
Cr: 0.0000 0.3325 0.0000  4 Mn 2.41, 4 Cr 2.42

Properties
Raw total energy (eV per atom): -18.23
Formation enthalpy at 0 K (eV per atom): 0.084